DFT (GGA-PBE) results for Na3Y2TmS6 after structural relaxation.

a b c (Å): 6.8738 11.9062 7.0670
angles (deg): 90.00 108.92 90.00
Space group C2/m (No. 12)
One atom of each set of equivalent atoms:
Na 0.0000 0.0000 0.0000 x2
Na 0.0000 0.3330 0.0000 x4
Y 0.0000 0.1666 0.5000 x4
Tm 0.0000 0.5000 0.5000 x2
S 0.2402 0.3351 0.7261 x8
S 0.2456 0.0000 0.7258 x4

Summary:
* formation energy from raw total energies: -1853 meV/atom
* theoretical density: 3.69 g/cm³
* Fermi-level density of states: 0.000 states/eV per atom
* magnetization: 0.000 μB/cell
* crystal system: monoclinic